The following is a PBE calculation of a relaxed structure of ErTiSn, from the Alexandria database.

Computed properties:
For the uncorrected energy, the calculation gives -35.97 eV for the cell shown. For the density of states at the Fermi level, the calculation gives 0.8082 states/eV per atom. As for the crystal system: tetragonal. The calculation puts the excess energy over the best structure of this formula in the dataset at 0.000 eV per atom. For the formation energy, the calculation gives -0.51 eV per atom. Its space group is P4/nmm, No. 129.

Unit cell a=4.2512 b=4.2512 c=7.8692 alpha=90.00 beta=90.00 gamma=90.00
Last column: nearest neighbours and their distance in Å.
Positions (direct):
Er 0.2500 0.2500 0.1632  5 Sn 3.08-3.22, 4 Ti 3.40
Er 0.7500 0.7500 0.8368  5 Sn 3.08-3.22, 4 Ti 3.40
Ti 0.2500 0.7500 0.5000  4 Sn 2.92, 4 Ti 3.01
Ti 0.7500 0.2500 0.5000  4 Sn 2.92, 4 Ti 3.01
Sn 0.2500 0.2500 0.7539  4 Ti 2.92, 5 Er 3.08-3.22
Sn 0.7500 0.7500 0.2461  4 Ti 2.92, 5 Er 3.08-3.22